No. 1
PaCuNiAg: optimized geometry, PBE-GGA.

POSCAR file:
```
PaCuNiAg
1.0
-3.868 -0.033 2.520
0.246 -0.264 4.603
-1.103 3.663 2.584
Ni Ag Pa Cu
1 1 1 1
Direct
0.000 0.000 0.000
0.250 0.250 0.250
0.750 0.750 0.750
0.500 0.500 0.500
```

Results
E_form: 0.020 eV/atom
total magnetization: 0.00 μB/atom



No. 2
RbTi2Cr: optimized geometry, PBE-GGA.

POSCAR file:
```
RbTi2Cr
1.0
0.000 3.490 3.490
3.490 0.000 3.490
3.490 3.490 0.000
Rb Cr Ti
1 1 2
Direct
0.500 0.500 0.500
0.000 0.000 0.000
0.750 0.750 0.750
0.250 0.250 0.250
```

Results
E_form: 1.439 eV/atom
E above lowest polymorph: 247 meV per atom
total magnetization: 0.67 μB/atom



No. 3
CdIr2: optimized geometry, PBE-GGA.

POSCAR file:
```
CdIr2
1.0
3.304 -0.077 4.234
4.330 3.066 0.838
-5.262 -0.440 -0.983
Ir Cd
2 1
Direct
0.694 0.694 0.000
0.306 0.306 0.000
0.000 0.000 0.000
```

Results
E_form: 0.288 eV/atom
total magnetization: 0.00 μB/atom



No. 4
AlSb4Se: optimized geometry, PBE-GGA.

POSCAR file:
```
AlSb4Se
1.0
5.239 -3.268 -0.103
0.662 -4.891 3.711
0.038 -5.699 -2.379
Sb Se Al
4 1 1
Direct
0.870 0.377 0.377
0.377 0.377 0.870
0.377 0.377 0.377
0.377 0.870 0.377
0.750 0.750 0.750
0.000 0.000 0.000
```

Results
formation energy (no corrections): 0.424 eV per atom
total magnetization: 0.00 μB/atom



No. 5
Ta2MnAg: optimized geometry, PBE-GGA.

POSCAR file:
```
Ta2MnAg
1.0
-3.366 2.899 -1.720
-3.784 -2.829 -0.610
2.693 0.557 3.890
Mn Ta Ag
1 2 1
Direct
0.750 0.250 0.500
0.000 0.000 0.000
0.500 0.500 0.000
0.250 0.750 0.500
```

Results
E_form: 0.321 eV/atom
E above lowest polymorph: 174 meV per atom
total magnetization: 0.00 μB/atom



No. 6
LaNd6DyTm2: optimized geometry, PBE-GGA.

POSCAR file:
```
LaNd6DyTm2
1.0
9.274 -2.122 -2.203
0.827 8.684 -1.997
0.827 -2.318 8.604
La Nd Tm Dy
2 12 4 2
Direct
0.750 0.594 0.406
0.250 0.406 0.594
0.555 0.761 0.109
0.380 0.511 0.296
0.945 0.891 0.239
0.682 0.017 0.565
0.182 0.565 0.017
0.880 0.296 0.511
0.120 0.704 0.489
0.055 0.109 0.761
0.318 0.983 0.435
0.620 0.489 0.704
0.445 0.239 0.891
0.818 0.435 0.983
0.047 0.291 0.195
0.953 0.709 0.805
0.547 0.195 0.291
0.453 0.805 0.709
0.750 0.032 0.968
0.250 0.968 0.032
```

Results
E_form: 0.113 eV/atom
total magnetization: 0.00 μB/atom



No. 7
AlTlIr4: optimized geometry, PBE-GGA.

POSCAR file:
```
AlTlIr4
1.0
1.364 -4.537 -2.296
-3.297 -4.103 0.113
-2.424 -1.552 -4.409
Ir Al Tl
4 1 1
Direct
0.876 0.375 0.375
0.375 0.375 0.375
0.375 0.876 0.375
0.375 0.375 0.876
0.000 0.000 0.000
0.750 0.750 0.750
```

Results
E_form: 0.393 eV/atom
total magnetization: 0.00 μB/atom



No. 8
LiAl2Rh: optimized geometry, PBE-GGA.

POSCAR file:
```
LiAl2Rh
1.0
3.335 -2.014 -1.737
-0.363 -4.075 -1.210
-0.035 -0.998 -4.147
Li Al Rh
1 2 1
Direct
0.000 0.000 0.000
0.250 0.250 0.250
0.750 0.750 0.750
0.500 0.500 0.500
```

Results
E_form: -0.711 eV/atom
total magnetization: 0.00 μB/atom